(1)
A relaxed structure of P3PdC. Source: Alexandria, functional GGA-PBE.

Cell lengths 4.024, 4.024, 4.024 Å; angles 90.00, 90.00, 90.00 degrees
Fractional positions:
P (0.000, 0.500, 0.000)
P (0.000, 0.000, 0.500)
P (0.500, 0.000, 0.000)
C (0.000, 0.000, 0.000)
Pd (0.500, 0.500, 0.500)

As for the polymorph energy (0 for the lowest one): 0 meV/atom. The calculation puts the formation energy at 933.6 meV/atom. The value obtained for the density of states at the Fermi level is 1.3 states/eV/f.u.


(2)
A relaxed structure of Cr2MoRh5. Source: Alexandria, functional GGA-PBE.

Cell lengths 5.396, 5.396, 5.397 Å; angles 119.86, 119.86, 90.24 degrees
Site moments in Bohr magnetons follow the coordinates.
Fractional positions:
Cr (0.278, 0.778, 0.500)  1.90
Cr (0.778, 0.278, 0.500)  1.90
Mo (0.778, 0.778, 0.000)  -0.53
Rh (0.278, 0.278, 0.500)  -0.12
Rh (0.278, 0.778, 0.000)  -0.12
Rh (0.778, 0.278, 0.000)  -0.12
Rh (0.778, 0.778, 0.500)  -0.12
Rh (0.278, 0.278, 0.000)  -0.17

The calculation puts the formation energy at -106.7 meV/atom. The value obtained for the density of states at the Fermi level is 7.4 states/eV/f.u.


(3)
A relaxed structure of Pr8Si3SeI4. Source: Alexandria, functional GGA-PBE.

Cell lengths 8.707, 9.256, 8.707 Å; angles 118.07, 120.00, 90.00 degrees
Fractional positions:
Pr (0.237, 0.696, 0.959)
Pr (0.237, 0.696, 0.474)
Pr (0.267, 0.302, 0.535)
Pr (0.723, 0.696, 0.959)
Pr (0.277, 0.304, 0.041)
Pr (0.733, 0.698, 0.465)
Pr (0.763, 0.304, 0.526)
Pr (0.763, 0.304, 0.041)
Si (0.500, 0.500, 0.000)
Si (0.500, 0.500, 0.500)
Si (0.000, 0.500, 0.500)
Se (0.000, 0.500, 0.000)
I (0.500, 0.000, 0.000)
I (0.500, 0.000, 0.500)
I (0.000, 0.000, 0.000)
I (0.000, 0.000, 0.500)

The value obtained for the density of states at the Fermi level is 6.8 states/eV/f.u. The energy relative to the elements, uncorrected comes out at -17.4 eV/f.u.


(4)
A relaxed structure of Cs2KTlAu. Source: Alexandria, functional GGA-PBE.

Cell lengths 7.657, 7.657, 5.367 Å; angles 90.00, 90.00, 90.00 degrees
Fractional positions:
Cs (0.000, 0.500, 0.000)
Cs (0.500, 0.000, 0.000)
Tl (0.000, 0.000, 0.000)
Au (0.000, 0.000, 0.500)
K (0.500, 0.500, 0.500)

As for the polymorph energy (0 for the lowest one): 121 meV/atom. The calculation puts the formation energy at 47.6 meV/atom. The value obtained for the density of states at the Fermi level is 5.8 states/eV/f.u.